Entry 1:
{"formula": "SrTaCuPd", "functional": "GGA-PBE", "state": "relaxed", "lattice": [[1.191, 2.658, 3.693], [-1.883, -0.862, 4.223], [2.657, -1.804, 3.436]], "species": ["Ta", "Pd", "Sr", "Cu"], "fractional_positions": [[0.250, 0.250, 0.250], [0.500, 0.500, 0.500], [0.000, 0.000, 0.000], [0.750, 0.750, 0.750]], "m_tot_mub_per_cell": 0.00, "e_above_lowest_polymorph_mev_per_atom": 123, "spacegroup": "F-43m"}

Entry 2:
{"formula": "Ta2CuPd", "functional": "GGA-PBE", "state": "relaxed", "lattice": [[0.000, 3.181, 3.181], [3.181, 0.000, 3.181], [3.181, 3.181, 0.000]], "species": ["Pd", "Ta", "Cu", "Ta"], "fractional_positions": [[0.500, 0.500, 0.500], [0.750, 0.750, 0.750], [0.250, 0.250, 0.250], [0.000, 0.000, 0.000]], "e_form_mev_per_atom": 214, "m_tot_mub_per_cell": 2.03, "spacegroup": "F-43m"}

Entry 3:
{"formula": "TaCuPd", "functional": "GGA-PBE", "state": "relaxed", "lattice": [[0.000, 3.006, 3.006], [3.006, 0.000, 3.006], [3.006, 3.006, 0.000]], "species": ["Pd", "Cu", "Ta"], "fractional_positions": [[0.750, 0.750, 0.750], [0.250, 0.250, 0.250], [0.000, 0.000, 0.000]], "e_form_mev_per_atom": 491, "m_tot_mub_per_cell": 0.00, "e_above_lowest_polymorph_mev_per_atom": 149, "spacegroup": "F-43m"}